VASP calculation (PBE) on crystalline K2BaCl at its relaxed geometry.

Cell lengths 4.171, 4.361, 11.623 Å; angles 79.47, 90.00, 90.00 degrees
Atoms (fractional coordinates):
K 0.500 0.307 0.247
Cl 0.500 0.549 0.783
K 0.000 0.987 0.909
Ba 0.000 0.656 0.561

## Properties
Size of the total moment ... 0.0 Bohr magnetons per cell
Energy relative to the elements, uncorrected ... -0.83 eV/atom
DOS(E_F) ... 0.53 states/eV per atom
Energy above the lowest structure with this stoichiometry ... 0.0413 eV per atom

=====

VASP calculation (PBE) on crystalline KBaCl at its relaxed geometry.

Cell lengths 4.428, 4.428, 8.164 Å; angles 90.00, 90.00, 120.00 degrees
Last column: magnetic moment on the atom in μB.
Atoms (fractional coordinates):
Cl 0.667 0.333 0.337  0.01
Ba 0.000 0.000 0.073  0.09
K 0.333 0.667 0.590  0.00

## Properties
Size of the total moment ... 0.3 Bohr magnetons per cell
Energy relative to the elements, uncorrected ... -1.15 eV/atom
DOS(E_F) ... 0.78 states/eV per atom
Energy above the lowest structure with this stoichiometry ... 0.0175 eV per atom

=====

VASP calculation (PBE) on crystalline KBaCl2 at its relaxed geometry.

Cell lengths 5.583, 5.583, 5.583 Å; angles 60.00, 60.00, 60.00 degrees
Last column: magnetic moment on the atom in μB.
Atoms (fractional coordinates):
Cl 0.250 0.250 0.250  0.01
Cl 0.750 0.750 0.750  0.01
Ba 0.500 0.500 0.500  0.27
K 0.000 0.000 0.000  0.04

## Properties
Size of the total moment ... 0.9 Bohr magnetons per cell
Energy relative to the elements, uncorrected ... -1.59 eV/atom
DOS(E_F) ... 0.72 states/eV per atom
Energy above the lowest structure with this stoichiometry ... 0.2399 eV per atom